No. 1
# BaLaNi2 (PBE, relaxed)
# ΔE_f: 0.0469 eV/atom
# Offset from the most stable computed form: 0.129 eV/atom
data_BaLaNi2
_space_group_name_H-M_alt 'C 1 2/m 1'
_space_group_IT_number 12
_space_group_name_Hall '-C 2y'
_cell_length_a 7.325
_cell_length_b 7.328
_cell_length_c 3.616
_cell_angle_alpha 90.00
_cell_angle_beta 90.13
_cell_angle_gamma 90.00
loop_
_atom_site_label
_atom_site_type_symbol
_atom_site_fract_x
_atom_site_fract_y
_atom_site_fract_z
Ba1 Ba 0.000 0.000 0.000
La1 La 0.000 0.500 0.000
Ni1 Ni 0.250 0.250 0.500

No. 2
# BaLaNi2 (PBE, relaxed)
# ΔE_f: -0.0824 eV/atom
# Offset from the most stable computed form: 0.000 eV/atom
data_BaLaNi2
_space_group_name_H-M_alt 'P 1 2/m 1'
_space_group_IT_number 10
_space_group_name_Hall '-P 2y'
_cell_length_a 3.683
_cell_length_b 3.649
_cell_length_c 7.396
_cell_angle_alpha 90.00
_cell_angle_beta 90.17
_cell_angle_gamma 90.00
loop_
_atom_site_label
_atom_site_type_symbol
_atom_site_fract_x
_atom_site_fract_y
_atom_site_fract_z
Ba1 Ba 0.000 0.000 0.000
La1 La 0.000 0.000 0.500
Ni1 Ni 0.500 0.500 0.312

No. 3
# Ba2LaNi (PBE, relaxed)
# ΔE_f: 0.0401 eV/atom
# Offset from the most stable computed form: 0.024 eV/atom
data_Ba2LaNi
_space_group_name_H-M_alt 'I m m m'
_space_group_IT_number 71
_space_group_name_Hall '-I 2 2'
_cell_length_a 3.793
_cell_length_b 4.275
_cell_length_c 19.610
_cell_angle_alpha 90.00
_cell_angle_beta 90.00
_cell_angle_gamma 90.00
loop_
_atom_site_label
_atom_site_type_symbol
_atom_site_fract_x
_atom_site_fract_y
_atom_site_fract_z
Ba1 Ba 0.000 0.000 0.158
La1 La 0.000 0.500 0.000
Ni1 Ni 0.000 0.500 0.500

No. 4
# BaLa2Ni2 (PBE, relaxed)
# ΔE_f: -0.0403 eV/atom
# Offset from the most stable computed form: 0.034 eV/atom
data_BaLa2Ni2
_space_group_name_H-M_alt 'I 4/m m m'
_space_group_IT_number 139
_space_group_name_Hall '-I 4 2'
_cell_length_a 5.094
_cell_length_b 5.094
_cell_length_c 10.650
_cell_angle_alpha 90.00
_cell_angle_beta 90.00
_cell_angle_gamma 90.00
loop_
_atom_site_label
_atom_site_type_symbol
_atom_site_fract_x
_atom_site_fract_y
_atom_site_fract_z
Ba1 Ba 0.000 0.000 0.000
La1 La 0.000 0.500 0.250
Ni1 Ni 0.000 0.000 0.386

No. 5
# BaLaNi2 (PBE, relaxed)
# ΔE_f: 0.0520 eV/atom
# Offset from the most stable computed form: 0.134 eV/atom
data_BaLaNi2
_space_group_name_H-M_alt 'F m -3 m'
_space_group_IT_number 225
_space_group_name_Hall '-F 4 2 3'
_cell_length_a 7.289
_cell_length_b 7.289
_cell_length_c 7.289
_cell_angle_alpha 90.00
_cell_angle_beta 90.00
_cell_angle_gamma 90.00
loop_
_atom_site_label
_atom_site_type_symbol
_atom_site_fract_x
_atom_site_fract_y
_atom_site_fract_z
Ba1 Ba 0.000 0.000 0.000
La1 La 0.000 0.000 0.500
Ni1 Ni 0.250 0.250 0.250